AlGaRe3 (GGA-PBE, optimized geometry); formation energy = 1765 meV/atom; ΔE to the lowest computed polymorph = 0 meV per atom
1.0
4.460 0.000 0.000
0.000 4.460 0.000
0.000 0.000 4.460
Re Al Ga
3 1 1
direct
0.500 0.000 0.000
0.000 0.500 0.000
0.000 0.000 0.500
0.000 0.000 0.000
0.500 0.500 0.500